1.
A relaxed NaCuNiMo crystal. Source: OQMD via LeMat-Bulk, functional PBE.

Lattice parameters (Å, degrees): 4.266 4.266 4.266 60.00 60.00 60.00
Atoms (fractional coordinates):
Cu 0.500 0.500 0.500
Mo 0.000 0.000 0.000
Na 0.750 0.750 0.750
Ni 0.250 0.250 0.250

Output
Space group: F-43m (216)
Crystal system: cubic
E, eV per atom: -4.633

=====

2.
A relaxed NaCuNiMo crystal. Source: OQMD via LeMat-Bulk, functional PBE.

Lattice parameters (Å, degrees): 4.326 4.326 4.326 60.00 60.00 60.00
Atoms (fractional coordinates):
Cu 0.000 0.000 0.000
Na 0.750 0.750 0.750
Ni 0.500 0.500 0.500
Mo 0.250 0.250 0.250

Output
Space group: F-43m (216)
Crystal system: cubic
E, eV per atom: -4.695

=====

3.
A relaxed NaCuMoPd crystal. Source: OQMD via LeMat-Bulk, functional PBE.

Lattice parameters (Å, degrees): 4.452 4.452 4.452 60.00 60.00 60.00
Atoms (fractional coordinates):
Mo 0.000 0.000 0.000
Pd 0.250 0.250 0.250
Na 0.500 0.500 0.500
Cu 0.750 0.750 0.750

Output
Space group: F-43m (216)
Crystal system: cubic
E, eV per atom: -4.731

=====

4.
A relaxed NaCuMoPd crystal. Source: OQMD via LeMat-Bulk, functional PBE.

Lattice parameters (Å, degrees): 4.411 4.411 4.411 60.00 60.00 60.00
Atoms (fractional coordinates):
Mo 0.000 0.000 0.000
Cu 0.500 0.500 0.500
Na 0.750 0.750 0.750
Pd 0.250 0.250 0.250

Output
Space group: F-43m (216)
Crystal system: cubic
E, eV per atom: -4.662

=====

5.
A relaxed NaCuMoPt crystal. Source: OQMD via LeMat-Bulk, functional PBE.

Lattice parameters (Å, degrees): 4.446 4.446 4.446 60.00 60.00 60.00
Atoms (fractional coordinates):
Mo 0.500 0.500 0.500
Pt 0.250 0.250 0.250
Cu 0.750 0.750 0.750
Na 0.000 0.000 0.000

Output
Space group: F-43m (216)
Crystal system: cubic
E, eV per atom: -5.123

=====

6.
A relaxed NaCuMoPt crystal. Source: OQMD via LeMat-Bulk, functional PBE.

Lattice parameters (Å, degrees): 4.397 4.397 4.397 60.00 60.00 60.00
Atoms (fractional coordinates):
Na 0.000 0.000 0.000
Pt 0.500 0.500 0.500
Cu 0.750 0.750 0.750
Mo 0.250 0.250 0.250

Output
Space group: F-43m (216)
Crystal system: cubic
E, eV per atom: -5.132

=====

7.
A relaxed NaCu3MoSe4 crystal. Source: OQMD via LeMat-Bulk, functional PBE.

Lattice parameters (Å, degrees): 5.917 5.917 5.917 90.00 90.00 90.00
Last column: magnetic moment on the atom in μB.
Atoms (fractional coordinates):
Se 0.736 0.736 0.264  0.04
Se 0.736 0.264 0.736  0.04
Se 0.264 0.736 0.736  0.04
Se 0.264 0.264 0.264  0.05
Cu 0.500 0.000 0.500  0.06
Cu 0.500 0.500 0.000  0.09
Cu 0.000 0.500 0.500  0.03
Mo 0.500 0.500 0.500  1.32
Na 0.000 0.000 0.000  0.00

Output
Space group: P-43m (215)
Crystal system: cubic
E, eV per atom: -4.417

=====

8.
A relaxed NaCuTe2MoSe crystal. Source: OQMD via LeMat-Bulk, functional PBE.

Lattice parameters (Å, degrees): 7.459 7.459 10.112 90.00 90.00 150.13
Last column: magnetic moment on the atom in μB.
Atoms (fractional coordinates):
Mo 0.000 0.000 0.000  1.76
Mo 0.000 0.000 0.500  1.78
Te 0.362 0.638 0.546  -0.03
Te 0.362 0.638 0.954  -0.03
Te 0.638 0.362 0.454  -0.03
Te 0.638 0.362 0.046  -0.03
Na 0.742 0.258 0.750  0.01
Na 0.258 0.742 0.250  0.01
Cu 0.468 0.532 0.750  0.01
Cu 0.532 0.468 0.250  0.01
Se 0.070 0.930 0.750  -0.03
Se 0.930 0.070 0.250  -0.03

Output
Space group: Cmcm (63)
Crystal system: orthorhombic
E, eV per atom: -4.539

=====

9.
A relaxed NaCuTeMoSe2 crystal. Source: OQMD via LeMat-Bulk, functional PBE.

Lattice parameters (Å, degrees): 7.463 7.463 10.098 90.00 90.00 152.05
Last column: magnetic moment on the atom in μB.
Atoms (fractional coordinates):
Se 0.126 0.874 0.449  0.01
Se 0.126 0.874 0.051  0.01
Se 0.874 0.126 0.949  0.01
Se 0.874 0.126 0.551  0.01
Na 0.721 0.279 0.250  0.01
Na 0.279 0.721 0.750  0.01
Cu 0.039 0.961 0.250  0.05
Cu 0.961 0.039 0.750  0.05
Mo 0.500 0.500 0.500  1.22
Mo 0.500 0.500 0.000  1.21
Te 0.591 0.409 0.750  -0.03
Te 0.409 0.591 0.250  -0.03

Output
Space group: Cmcm (63)
Crystal system: orthorhombic
E, eV per atom: -4.699

=====

10.
A relaxed NaCuTe3Mo crystal. Source: OQMD via LeMat-Bulk, functional PBE.

Lattice parameters (Å, degrees): 7.488 7.488 10.524 90.00 90.00 30.58
Last column: magnetic moment on the atom in μB.
Atoms (fractional coordinates):
Na 0.236 0.236 0.750  0.01
Na 0.764 0.764 0.250  0.01
Te 0.634 0.634 0.955  -0.03
Te 0.366 0.366 0.455  -0.03
Te 0.634 0.634 0.545  -0.03
Te 0.920 0.920 0.750  -0.06
Te 0.080 0.080 0.250  -0.06
Te 0.366 0.366 0.045  -0.03
Mo 0.000 0.000 0.500  1.87
Mo 0.000 0.000 0.000  1.86
Cu 0.462 0.462 0.250  0.01
Cu 0.538 0.538 0.750  0.01

Output
Space group: Cmcm (63)
Crystal system: orthorhombic
E, eV per atom: -4.421

=====

11.
A relaxed NbCu2Mo crystal. Source: OQMD via LeMat-Bulk, functional PBE.

Lattice parameters (Å, degrees): 4.395 4.395 4.395 60.00 60.00 60.00
Last column: magnetic moment on the atom in μB.
Atoms (fractional coordinates):
Cu 0.500 0.500 0.500  0.01
Cu 0.250 0.250 0.250  0.04
Mo 0.000 0.000 0.000  0.25
Nb 0.750 0.750 0.750  0.06

Output
Space group: F-43m (216)
Crystal system: cubic
E, eV per atom: -6.664

=====

12.
A relaxed Nb2CuMo crystal. Source: OQMD via LeMat-Bulk, functional PBE.

Lattice parameters (Å, degrees): 4.502 4.502 4.502 60.00 60.00 60.00
Atoms (fractional coordinates):
Nb 0.000 0.000 0.000
Nb 0.750 0.750 0.750
Mo 0.500 0.500 0.500
Cu 0.250 0.250 0.250

Output
Space group: F-43m (216)
Crystal system: cubic
E, eV per atom: -8.441

=====

Repeat the ninth record exactly.
A relaxed NaCuTeMoSe2 crystal. Source: OQMD via LeMat-Bulk, functional PBE.

Lattice parameters (Å, degrees): 7.463 7.463 10.098 90.00 90.00 152.05
Last column: magnetic moment on the atom in μB.
Atoms (fractional coordinates):
Se 0.126 0.874 0.449  0.01
Se 0.126 0.874 0.051  0.01
Se 0.874 0.126 0.949  0.01
Se 0.874 0.126 0.551  0.01
Na 0.721 0.279 0.250  0.01
Na 0.279 0.721 0.750  0.01
Cu 0.039 0.961 0.250  0.05
Cu 0.961 0.039 0.750  0.05
Mo 0.500 0.500 0.500  1.22
Mo 0.500 0.500 0.000  1.21
Te 0.591 0.409 0.750  -0.03
Te 0.409 0.591 0.250  -0.03

Output
Space group: Cmcm (63)
Crystal system: orthorhombic
E, eV per atom: -4.699